AsIr2I: optimized geometry, PBE.

Output
The calculation puts the volume at 71.0 Å³/cell. The total energy comes out at -5.139 eV per atom. The value obtained for the uncorrected formation energy is 0.841 eV/atom.

```
AsIr2I
1.0
0.0000 3.2859 3.2859
3.2859 0.0000 3.2859
3.2859 3.2859 0.0000
As Ir I
1 2 1
Cartesian
0.0000 0.0000 0.0000 As
1.6429 1.6429 1.6429 Ir
4.9288 4.9288 4.9288 Ir
3.2859 3.2859 3.2859 I
```